Below is a relaxed Na2Mg2Zn crystal, with properties calculated at the PBE-GGA level.

Offset from the most stable computed form in eV/atom: 0.000
Energy of formation in eV per atom: 0.124
SG: P4/mbm, No. 127
Spin magnetization in μB per cell: 0.0

Lattice parameters (Å, degrees): 7.133 7.133 5.420 90.00 90.00 90.00
Positions (direct):
Zn 0.000 0.000 0.000
Mg 0.350 0.850 0.000
Mg 0.850 0.650 0.000
Na 0.171 0.671 0.500
Zn 0.500 0.500 0.000
Na 0.329 0.171 0.500
Na 0.829 0.329 0.500
Na 0.671 0.829 0.500
Mg 0.150 0.350 0.000
Mg 0.650 0.150 0.000